Cs2WF (PBE+U, relaxed); total moment = 5.00 μB/f.u.; distance to the lowest polymorph of the same formula = 1.008 eV per formula unit
1.0
-2.1989 -5.7475 0.3776
1.2918 -3.4775 4.9243
-4.4296 -1.3445 4.0720
Cs W F
2 1 1
Direct
0.2500 0.2500 0.2500 Cs
0.7500 0.7500 0.7500 Cs
0.5000 0.5000 0.5000 W
0.0000 0.0000 0.0000 F